ScTi2Te | PBE | relaxed

Cell: 6.282 6.282 6.282 Å, 101.54 101.54 126.87°
Fractional positions:
1 Sc 0.000 0.000 0.000
2 Sc 0.750 0.250 0.500
3 Ti 0.160 0.625 0.035
4 Ti 0.375 0.410 0.535
5 Ti 0.590 0.125 0.965
6 Ti 0.875 0.840 0.465
7 Te 0.250 0.750 0.500
8 Te 0.500 0.500 0.000

Values from the calculation:
E_tot, eV/cell: -49.68
D(E_F), states/eV/f.u.: 7.145
Crystal system: tetragonal

=====

ScTiTe2 | PBE | relaxed

Cell: 9.298 9.298 9.298 Å, 24.58 24.58 24.58°
Fractional positions:
1 Sc 0.000 0.000 0.000
2 Ti 0.500 0.500 0.500
3 Te 0.399 0.399 0.399
4 Te 0.601 0.601 0.601

Values from the calculation:
E_tot, eV/cell: -21.88
Energy above the most stable polymorph in this dataset, eV per formula unit: 1.24
D(E_F), states/eV/f.u.: 5.509
Crystal system: trigonal

=====

ScTiTe4 | PBE | relaxed

Cell: 7.999 7.999 7.999 Å, 121.65 118.32 90.04°
Fractional positions:
1 Sc 0.000 0.000 0.000
2 Sc 0.500 0.000 0.500
3 Ti 0.500 0.000 0.000
4 Ti 0.500 0.500 0.500
5 Te 0.251 0.743 0.507
6 Te 0.254 0.267 0.513
7 Te 0.254 0.741 0.987
8 Te 0.264 0.257 0.007
9 Te 0.736 0.743 0.993
10 Te 0.746 0.259 0.013
11 Te 0.746 0.733 0.487
12 Te 0.749 0.257 0.493

Values from the calculation:
E_tot, eV/cell: -63.04
D(E_F), states/eV/f.u.: 2.580
Crystal system: orthorhombic

=====

ScTl3Te | PBE | relaxed

Cell: 5.988 5.988 5.988 Å, 90.00 90.00 90.00°
Fractional positions:
1 Sc 0.000 0.000 0.000
2 Tl 0.000 0.500 0.500
3 Tl 0.500 0.000 0.500
4 Tl 0.500 0.500 0.000
5 Te 0.500 0.500 0.500

Values from the calculation:
E_tot, eV/cell: -13.23
Energy above the most stable polymorph in this dataset, eV per formula unit: 1.68
D(E_F), states/eV/f.u.: 7.930
Crystal system: cubic

=====

ScTl3Te | PBE | relaxed

Cell: 5.722 5.722 5.722 Å, 90.00 90.00 90.00°
Fractional positions:
1 Sc 0.000 0.000 0.000
2 Tl 0.000 0.000 0.500
3 Tl 0.000 0.500 0.000
4 Tl 0.500 0.000 0.000
5 Te 0.500 0.500 0.500

Values from the calculation:
E_tot, eV/cell: -14.92
Energy above the most stable polymorph in this dataset, eV per formula unit: 0.00
D(E_F), states/eV/f.u.: 5.058
Crystal system: cubic

=====

Sc2TlTe2 | PBE | relaxed

Cell: 8.098 8.098 3.860 Å, 90.00 90.00 90.00°
Fractional positions:
1 Sc 0.147 0.353 0.000
2 Sc 0.353 0.853 0.000
3 Sc 0.647 0.147 0.000
4 Sc 0.853 0.647 0.000
5 Tl 0.000 0.000 0.000
6 Tl 0.500 0.500 0.000
7 Te 0.150 0.650 0.500
8 Te 0.350 0.150 0.500
9 Te 0.650 0.850 0.500
10 Te 0.850 0.350 0.500

Values from the calculation:
E_tot, eV/cell: -49.99
Energy above the most stable polymorph in this dataset, eV per formula unit: 0.00
D(E_F), states/eV/f.u.: 5.355
Crystal system: tetragonal

=====

Sc3TlTe4 | PBE | relaxed

Cell: 4.188 4.188 30.162 Å, 90.00 90.00 120.00°
Fractional positions:
1 Sc 0.000 0.000 0.000
2 Sc 0.000 0.000 0.500
3 Sc 0.333 0.667 0.113
4 Sc 0.333 0.667 0.387
5 Sc 0.667 0.333 0.613
6 Sc 0.667 0.333 0.887
7 Tl 0.333 0.667 0.750
8 Tl 0.667 0.333 0.250
9 Te 0.000 0.000 0.168
10 Te 0.000 0.000 0.332
11 Te 0.000 0.000 0.668
12 Te 0.000 0.000 0.832
13 Te 0.333 0.667 0.556
14 Te 0.333 0.667 0.944
15 Te 0.667 0.333 0.056
16 Te 0.667 0.333 0.444

Values from the calculation:
E_tot, eV/cell: -84.13
D(E_F), states/eV/f.u.: 4.170
Crystal system: hexagonal

=====

ScTl5Te4 | PBE | relaxed

Cell: 10.123 10.123 8.871 Å, 114.08 114.08 25.70°
Fractional positions:
1 Sc 0.000 0.000 0.000
2 Tl 0.000 0.000 0.500
3 Tl 0.297 0.297 0.675
4 Tl 0.347 0.347 0.218
5 Tl 0.653 0.653 0.782
6 Tl 0.703 0.703 0.325
7 Te 0.157 0.157 0.041
8 Te 0.467 0.467 0.754
9 Te 0.533 0.533 0.246
10 Te 0.843 0.843 0.959

Values from the calculation:
E_tot, eV/cell: -35.82
D(E_F), states/eV/f.u.: 0.449
Crystal system: monoclinic

=====

ScTl3Te3 | PBE | relaxed

Cell: 11.011 11.011 11.011 Å, 109.47 109.47 109.47°
Fractional positions:
1 Sc 0.000 0.250 0.500
2 Sc 0.250 0.250 0.250
3 Sc 0.250 0.500 0.000
4 Sc 0.500 0.000 0.250
5 Tl 0.250 0.753 0.747
6 Tl 0.250 0.997 0.503
7 Tl 0.503 0.250 0.997
8 Tl 0.503 0.753 0.506
9 Tl 0.506 0.503 0.753
10 Tl 0.747 0.250 0.753
11 Tl 0.747 0.997 0.994
12 Tl 0.753 0.506 0.503
13 Tl 0.753 0.747 0.250
14 Tl 0.994 0.747 0.997
15 Tl 0.997 0.503 0.250
16 Tl 0.997 0.994 0.747
17 Te 0.016 0.033 0.266
18 Te 0.016 0.484 0.750
19 Te 0.033 0.266 0.016
20 Te 0.234 0.266 0.750
21 Te 0.234 0.467 0.484
22 Te 0.266 0.016 0.033
23 Te 0.266 0.750 0.234
24 Te 0.467 0.484 0.234
25 Te 0.484 0.234 0.467
26 Te 0.484 0.750 0.016
27 Te 0.750 0.016 0.484
28 Te 0.750 0.234 0.266

Values from the calculation:
E_tot, eV/cell: -109.19
Energy above the most stable polymorph in this dataset, eV per formula unit: 0.00
Crystal system: cubic

=====

ScTlTe4 | PBE | relaxed

Cell: 6.404 6.404 6.404 Å, 60.00 60.00 60.00°
Fractional positions:
1 Sc 0.000 0.000 0.000
2 Tl 0.250 0.250 0.250
3 Te 0.123 0.626 0.626
4 Te 0.626 0.123 0.626
5 Te 0.626 0.626 0.123
6 Te 0.626 0.626 0.626

Values from the calculation:
E_tot, eV/cell: -20.02
Energy above the most stable polymorph in this dataset, eV per formula unit: 4.78
D(E_F), states/eV/f.u.: 5.243
Crystal system: cubic

=====

ScTl3Te3 | PBE | relaxed

Cell: 7.617 7.617 10.075 Å, 96.13 96.13 115.78°
Fractional positions:
1 Sc 0.148 0.148 0.164
2 Sc 0.852 0.852 0.836
3 Tl 0.155 0.845 0.500
4 Tl 0.291 0.709 0.000
5 Tl 0.390 0.390 0.626
6 Tl 0.610 0.610 0.374
7 Tl 0.709 0.291 0.000
8 Tl 0.845 0.155 0.500
9 Te 0.135 0.481 0.286
10 Te 0.208 0.208 0.898
11 Te 0.481 0.135 0.286
12 Te 0.519 0.865 0.714
13 Te 0.792 0.792 0.102
14 Te 0.865 0.519 0.714

Values from the calculation:
E_tot, eV/cell: -53.63
Energy above the most stable polymorph in this dataset, eV per formula unit: 0.48
Crystal system: monoclinic

=====

Sc2TlTe2 | PBE | relaxed

Cell: 7.689 7.689 7.689 Å, 143.49 143.49 52.59°
Fractional positions:
1 Sc 0.250 0.750 0.500
2 Sc 0.750 0.250 0.500
3 Tl 0.000 0.000 0.000
4 Te 0.364 0.364 0.000
5 Te 0.636 0.636 0.000

Values from the calculation:
E_tot, eV/cell: -24.46
Energy above the most stable polymorph in this dataset, eV per formula unit: 0.53
D(E_F), states/eV/f.u.: 6.349
Crystal system: tetragonal

=====

E_tot of number 1 (ScTi2Te)? -49.68 eV/cell

=====

Among the records above, which one has the highest E_tot? number 4